! Ca2UAgTe4 (PBE, optimized geometry); values from VASP
&SYSTEM
  ibrav = 0, nat = 8, ntyp = 4
/
ATOMIC_SPECIES
Ca 40.08 Ca.upf
U 238.03 U.upf
Ag 107.87 Ag.upf
Te 127.60 Te.upf
CELL_PARAMETERS angstrom
7.7308 0.0000 0.0000
0.0000 4.4451 0.0000
-2.6464 0.0000 7.2841
ATOMIC_POSITIONS angstrom
Ca 0.0000 0.0000 0.0000
Ca 3.8654 2.2225 0.0000
U -1.3232 2.2225 3.6420
Ag 2.5422 0.0000 3.6420
Te -0.0730 0.0000 5.4545
Te 1.2957 2.2225 1.9183
Te 3.7888 2.2225 5.3658
Te 5.1575 0.0000 1.8296
! - E (eV per cell) = -38.206
! - DOS at the Fermi energy (states/eV per cell) = 6.19
! - density (g/cm³) = 6.21
! - symmetry = No. 10
! - formation energy (no corrections) (eV/atom) = -0.94